1.
{"formula": "VCdS", "functional": "PBE", "state": "optimized geometry", "lattice": [[3.012, 0.016, -0.274], [-1.563, 3.964, -0.286], [-0.633, -2.306, 9.530]], "species": ["V", "V", "Cd", "Cd", "S", "S"], "fractional_positions": [[0.452, 0.302, 0.605], [0.548, 0.698, 0.395], [0.259, 0.629, 0.890], [0.741, 0.371, 0.110], [0.778, 0.913, 0.644], [0.222, 0.087, 0.356]], "e_tot_ev_per_atom": -5.12, "m_tot_mub_per_atom": 0.0000, "dos_ef_per_ev_fu": 2.04, "raw_formation_energy_ev_per_atom": -0.4013, "crystal_system": "triclinic"}

=====

2.
{"formula": "V4CdS8", "functional": "PBE", "state": "optimized geometry", "lattice": [[-0.430, -6.882, 0.798], [3.947, -4.197, -3.872], [5.246, -3.491, 2.910]], "species": ["V", "V", "V", "V", "Cd", "S", "S", "S", "S", "S", "S", "S", "S"], "fractional_positions": [[0.933, 0.356, 0.356], [0.356, 0.933, 0.356], [0.356, 0.356, 0.933], [0.356, 0.356, 0.356], [0.750, 0.750, 0.750], [0.631, 0.123, 0.123], [0.123, 0.631, 0.123], [0.123, 0.123, 0.631], [0.123, 0.123, 0.123], [0.180, 0.607, 0.607], [0.607, 0.180, 0.607], [0.607, 0.607, 0.180], [0.607, 0.607, 0.607]], "e_tot_ev_per_atom": -6.23, "m_tot_mub_per_atom": 0.0000, "dos_ef_per_ev_fu": 5.61, "raw_formation_energy_ev_per_atom": -0.8125, "relative_energy_mev_per_atom": 14, "crystal_system": "cubic"}